Record 1
Below is a relaxed structure of MnNi2P8, with properties calculated at the PBE level.

It has space group C2/m (No. 12), with a = 13.1189 Å, b = 6.6213 Å, c = 4.3212 Å, α = 90.00°, β = 96.76° and γ = 90.00°. Symmetry generates all atoms from Mn at (0.0000, 0.0000, 0.0000), Ni at (0.1830, 0.5000, 0.2241), P at (0.0806, 0.2501, 0.4146), P at (0.1471, 0.0000, 0.7228) and P at (0.1487, 0.5000, 0.7199).

The total DFT energy (no corrections) is -5.83 eV/atom.

***

Record 2
Below is a relaxed structure of MnNiP2Pb, with properties calculated at the PBE level.

It has space group P4/mmm (No. 123), with a = 4.3141 Å, b = 4.3141 Å, c = 4.8421 Å, α = 90.00°, β = 90.00° and γ = 90.00°. Symmetry generates all atoms from Mn at (0.0000, 0.0000, 0.0000), Ni at (0.0000, 0.0000, 0.5000), P at (0.0000, 0.5000, 0.0000) and Pb at (0.5000, 0.5000, 0.5000).

The total DFT energy (no corrections) is -5.53 eV/atom.

***

Record 3
Below is a relaxed structure of Pm2MnNi4P3, with properties calculated at the PBE level.

It has space group P-4m2 (No. 115), with a = 3.9578 Å, b = 3.9578 Å, c = 9.5876 Å, α = 90.00°, β = 90.00° and γ = 90.00°. Symmetry generates all atoms from Pm at (0.0000, 0.5000, 0.2437), Mn at (0.0000, 0.0000, 0.5000), Ni at (0.0000, 0.0000, 0.0000), Ni at (0.0000, 0.5000, 0.6331), Ni at (0.5000, 0.5000, 0.0000), P at (0.0000, 0.5000, 0.8702) and P at (0.5000, 0.5000, 0.5000).

The total DFT energy (no corrections) is -6.64 eV/atom.

***

Record 4
Below is a relaxed structure of RbMnNi2P, with properties calculated at the PBE level.

It has space group P4/mmm (No. 123), with a = 4.4648 Å, b = 4.4648 Å, c = 4.6821 Å, α = 90.00°, β = 90.00° and γ = 90.00°. Symmetry generates all atoms from Rb at (0.0000, 0.0000, 0.0000), Mn at (0.5000, 0.5000, 0.0000), Ni at (0.0000, 0.5000, 0.5000) and P at (0.5000, 0.5000, 0.5000).

The total DFT energy (no corrections) is -5.08 eV/atom.

***

Record 5
Below is a relaxed structure of TaMnNiPS, with properties calculated at the PBE level.

It has space group Pmm2 (No. 25), with a = 3.2593 Å, b = 3.2779 Å, c = 6.5589 Å, α = 90.00°, β = 90.00° and γ = 90.00°. Symmetry generates all atoms from Ta at (0.0000, 0.0000, 0.0000), Mn at (0.5000, 0.0000, 0.6309), Ni at (0.0000, 0.5000, 0.3857), P at (0.0000, 0.5000, 0.7153) and S at (0.5000, 0.5000, 0.1613).

The excess energy over the best structure of this formula in the dataset is 0 meV per atom.

***

Record 6
Below is a relaxed structure of TaMnNiPS, with properties calculated at the PBE level.

It has space group Amm2 (No. 38), with a = 3.5072 Å, b = 3.6217 Å, c = 10.6796 Å, α = 90.00°, β = 90.00° and γ = 90.00°. Symmetry generates all atoms from Ta at (0.0000, 0.0000, 0.0000), Mn at (0.0000, 0.0000, 0.7216), Ni at (0.5000, 0.0000, 0.2049), P at (0.5000, 0.0000, 0.5801) and S at (0.0000, 0.0000, 0.3303).

The excess energy over the best structure of this formula in the dataset is 91 meV per atom.

***

Record 7
Below is a relaxed structure of TaMnNiPS, with properties calculated at the PBE level.

It has space group Cm (No. 8), with a = 6.2799 Å, b = 3.6259 Å, c = 6.5750 Å, α = 90.00°, β = 108.66° and γ = 90.00°. Symmetry generates all atoms from Ta at (0.0000, 0.0000, 0.0000), Mn at (0.4451, 0.0000, 0.3336), Ni at (0.2400, 0.0000, 0.7212), P at (0.2459, 0.5000, 0.2364) and S at (0.0628, 0.5000, 0.6896).

The excess energy over the best structure of this formula in the dataset is 95 meV per atom.

***

Record 8
Below is a relaxed structure of TaMnNiPS, with properties calculated at the PBE level.

It has space group P3m1 (No. 156), with a = 3.5964 Å, b = 3.5964 Å, c = 6.0675 Å, α = 90.00°, β = 90.00° and γ = 120.00°. Symmetry generates all atoms from Ta at (0.0000, 0.0000, 0.0000), Mn at (0.3333, 0.6667, 0.6690), Ni at (0.0000, 0.0000, 0.4288), P at (0.6667, 0.3333, 0.7518) and S at (0.3333, 0.6667, 0.2714).

The excess energy over the best structure of this formula in the dataset is 38 meV per atom.

***

Record 9
Below is a relaxed structure of TaMnNiPS, with properties calculated at the PBE level.

It has space group Pmm2 (No. 25), with a = 3.2983 Å, b = 3.3432 Å, c = 6.3136 Å, α = 90.00°, β = 90.00° and γ = 90.00°. Symmetry generates all atoms from Ta at (0.0000, 0.0000, 0.0000), Mn at (0.5000, 0.5000, 0.7241), Ni at (0.5000, 0.0000, 0.3784), P at (0.0000, 0.0000, 0.6104) and S at (0.5000, 0.5000, 0.1441).

The excess energy over the best structure of this formula in the dataset is 27 meV per atom.

***

Record 10
Below is a relaxed structure of TaMnNiPS, with properties calculated at the PBE level.

It has space group Cm (No. 8), with a = 8.3611 Å, b = 3.3956 Å, c = 6.3832 Å, α = 90.00°, β = 127.52° and γ = 90.00°. Symmetry generates all atoms from Ta at (0.0000, 0.0000, 0.0000), Mn at (0.4461, 0.0000, 0.3392), Ni at (0.2513, 0.0000, 0.5608), P at (0.2541, 0.5000, 0.3481) and S at (0.2365, 0.0000, 0.8848).

The excess energy over the best structure of this formula in the dataset is 12 meV per atom.

***

Record 11
Below is a relaxed structure of TaMnNiPS, with properties calculated at the PBE level.

It has space group Cm (No. 8), with a = 8.3143 Å, b = 3.3128 Å, c = 5.5063 Å, α = 90.00°, β = 115.07° and γ = 90.00°. Symmetry generates all atoms from Ta at (0.0000, 0.0000, 0.0000), Mn at (0.3355, 0.5000, 0.4014), Ni at (0.1971, 0.0000, 0.6503), P at (0.0275, 0.5000, 0.3731) and S at (0.1994, 0.5000, 0.9518).

The excess energy over the best structure of this formula in the dataset is 84 meV per atom.

***

Record 12
Below is a relaxed structure of TaMnNiPS, with properties calculated at the PBE level.

It has space group P1 (No. 1), with a = 3.7426 Å, b = 4.4058 Å, c = 4.8551 Å, α = 66.35°, β = 80.03° and γ = 81.60°. Symmetry generates all atoms from Ta at (0.0000, 0.0000, 0.0000), Mn at (0.3979, 0.0343, 0.3361), Ni at (0.8846, 0.6387, 0.6235), P at (0.8340, 0.2288, 0.4599) and S at (0.3424, 0.5086, 0.9139).

The excess energy over the best structure of this formula in the dataset is 324 meV per atom.

***

Record 13
Below is a relaxed structure of TaMnNiPS, with properties calculated at the PBE level.

It has space group Cm (No. 8), with a = 6.6985 Å, b = 3.8455 Å, c = 6.0420 Å, α = 90.00°, β = 104.03° and γ = 90.00°. Symmetry generates all atoms from Ta at (0.0000, 0.0000, 0.0000), Mn at (0.1267, 0.5000, 0.8008), Ni at (0.4119, 0.5000, 0.5635), P at (0.2738, 0.0000, 0.7068) and S at (0.2058, 0.5000, 0.2018).

The excess energy over the best structure of this formula in the dataset is 25 meV per atom.

***

Record 14
Below is a relaxed structure of TaMnNiPS, with properties calculated at the PBE level.

It has space group Cm (No. 8), with a = 8.4767 Å, b = 3.5149 Å, c = 6.0362 Å, α = 90.00°, β = 106.89° and γ = 90.00°. Symmetry generates all atoms from Ta at (0.0000, 0.0000, 0.0000), Mn at (0.4985, 0.0000, 0.6105), Ni at (0.2569, 0.0000, 0.7762), P at (0.2070, 0.5000, 0.9813) and S at (0.0833, 0.0000, 0.4134).

The excess energy over the best structure of this formula in the dataset is 189 meV per atom.

***

Record 15
Below is a relaxed structure of TaMnNiPS, with properties calculated at the PBE level.

It has space group Pm (No. 6), with a = 3.4919 Å, b = 3.5080 Å, c = 6.0775 Å, α = 90.00°, β = 101.16° and γ = 90.00°. Symmetry generates all atoms from Ta at (0.0000, 0.0000, 0.0000), Mn at (0.1647, 0.5000, 0.4359), Ni at (0.6354, 0.0000, 0.3520), P at (0.5500, 0.5000, 0.1285) and S at (0.4059, 0.0000, 0.6776).

The excess energy over the best structure of this formula in the dataset is 87 meV per atom.

***

Record 16
Below is a relaxed structure of TaMnNiPS, with properties calculated at the PBE level.

It has space group Cm (No. 8), with a = 8.1790 Å, b = 3.2829 Å, c = 5.2782 Å, α = 90.00°, β = 99.18° and γ = 90.00°. Symmetry generates all atoms from Ta at (0.0000, 0.0000, 0.0000), Mn at (0.1569, 0.5000, 0.5841), Ni at (0.3144, 0.0000, 0.3005), P at (0.4466, 0.5000, 0.5110) and S at (0.2746, 0.0000, 0.8925).

The excess energy over the best structure of this formula in the dataset is 143 meV per atom.

***

Record 17
Below is a relaxed structure of MnNi7Sb2P2, with properties calculated at the PBE level.

It has space group C2/m (No. 12), with a = 5.0897 Å, b = 5.0900 Å, c = 13.9624 Å, α = 90.00°, β = 100.32° and γ = 90.00°. Symmetry generates all atoms from Mn at (0.0000, 0.0000, 0.0000), Ni at (0.0000, 0.5000, 0.0000), Ni at (0.1852, 0.2501, 0.8678), Ni at (0.1928, 0.5000, 0.3852), Sb at (0.2103, 0.0000, 0.4211) and P at (0.1111, 0.5000, 0.2257).

The total DFT energy (no corrections) is -5.96 eV/atom.

***

Record 18
Below is a relaxed structure of MnNi2SbP, with properties calculated at the PBE level.

It has space group P4/mmm (No. 123), with a = 4.1427 Å, b = 4.1427 Å, c = 5.4521 Å, α = 90.00°, β = 90.00° and γ = 90.00°. Symmetry generates all atoms from Mn at (0.0000, 0.0000, 0.0000), Ni at (0.0000, 0.5000, 0.5000), Sb at (0.5000, 0.5000, 0.0000) and P at (0.5000, 0.5000, 0.5000).

The total DFT energy (no corrections) is -5.67 eV/atom.

***

Record 19
Below is a relaxed structure of MnNiPSe, with properties calculated at the PBE level.

It has space group Amm2 (No. 38), with a = 2.9727 Å, b = 3.1881 Å, c = 11.8451 Å, α = 90.00°, β = 90.00° and γ = 90.00°. Symmetry generates all atoms from Mn at (0.0000, 0.0000, 0.0000), Ni at (0.5000, 0.0000, 0.8102), P at (0.5000, 0.0000, 0.4468) and Se at (0.0000, 0.0000, 0.1959).

The excess energy over the best structure of this formula in the dataset is 146 meV per atom.

***

Record 20
Below is a relaxed structure of MnNiPSe, with properties calculated at the PBE level.

It has space group P3m1 (No. 156), with a = 3.6309 Å, b = 3.6309 Å, c = 5.5862 Å, α = 90.00°, β = 90.00° and γ = 120.00°. Symmetry generates all atoms from Mn at (0.0000, 0.0000, 0.0000), Ni at (0.3333, 0.6667, 0.6723), P at (0.6667, 0.3333, 0.7725) and Se at (0.3333, 0.6667, 0.2546).

The excess energy over the best structure of this formula in the dataset is 4 meV per atom.